{"formula": "GaNi2SCl", "functional": "PBE-GGA", "state": "optimized geometry", "lattice_angstrom": [[4.735, 0.000, 0.000], [0.000, 4.735, 0.000], [0.000, 0.000, 4.424]], "species": ["Ga", "Ni", "Ni", "S", "Cl"], "frac_coords": [[0.000, 0.000, 0.000], [0.000, 0.500, 0.000], [0.500, 0.000, 0.000], [0.000, 0.000, 0.500], [0.500, 0.500, 0.500]], "dft_energy_ev_per_atom": -3.3294, "crystal_system": "tetragonal"}


{"formula": "Ta2CoSbRh", "functional": "PBE-GGA", "state": "optimized geometry", "lattice_angstrom": [[4.572, 0.000, 0.000], [0.000, 4.572, 0.000], [0.000, 0.000, 4.524]], "species": ["Ta", "Ta", "Co", "Sb", "Rh"], "frac_coords": [[0.000, 0.500, 0.000], [0.500, 0.000, 0.000], [0.000, 0.000, 0.000], [0.000, 0.000, 0.500], [0.500, 0.500, 0.500]], "dft_energy_ev_per_atom": -7.7750, "crystal_system": "tetragonal"}


{"formula": "Rb3Er2ZrS6", "functional": "PBE-GGA", "state": "optimized geometry", "lattice_angstrom": [[3.427, -5.936, 0.000], [3.427, 5.936, 0.000], [-2.287, 0.000, 7.694]], "species": ["Rb", "Rb", "Rb", "Er", "Er", "Zr", "S", "S", "S", "S", "S", "S"], "frac_coords": [[0.000, 0.000, 0.000], [0.331, 0.669, 0.000], [0.669, 0.331, 0.000], [0.166, 0.834, 0.500], [0.834, 0.166, 0.500], [0.500, 0.500, 0.500], [0.113, 0.436, 0.309], [0.241, 0.241, 0.692], [0.436, 0.113, 0.309], [0.564, 0.887, 0.691], [0.759, 0.759, 0.308], [0.887, 0.564, 0.691]], "dft_energy_ev_per_atom": -5.4717, "crystal_system": "monoclinic"}


{"formula": "La2TePdRh", "functional": "PBE-GGA", "state": "optimized geometry", "lattice_angstrom": [[5.589, 0.000, 0.000], [0.000, 5.589, 0.000], [0.000, 0.000, 4.899]], "species": ["La", "La", "Te", "Pd", "Rh"], "frac_coords": [[0.000, 0.500, 0.000], [0.500, 0.000, 0.000], [0.000, 0.000, 0.500], [0.000, 0.000, 0.000], [0.500, 0.500, 0.500]], "dft_energy_ev_per_atom": -5.1904, "crystal_system": "tetragonal"}